Model P:
# PuPaSi | Alexandria via LeMat-Bulk | PBE | relaxed
data_PuPaSi
_chemical_formula_sum 'Pu4 Pa4 Si4'
_cell_length_a 4.501
_cell_length_b 9.879
_cell_length_c 5.952
_cell_angle_alpha 90.00
_cell_angle_beta 90.00
_cell_angle_gamma 90.00
_space_group_name_H-M_alt 'C m c m'
_space_group_IT_number 63
_space_group_name_Hall '-C 2c 2'
loop_
_atom_site_label
_atom_site_fract_x
_atom_site_fract_y
_atom_site_fract_z
_atom_site_occupancy
Pu1 0.000 0.000 0.000 1
Pa1 0.000 0.315 0.250 1
Si1 0.000 0.372 0.750 1
# M_tot ... 5.61 μB/f.u.
# Crystal system ... orthorhombic

=====

Model Q:
# PuPaSi | Alexandria via LeMat-Bulk | PBE | relaxed
data_PuPaSi
_chemical_formula_sum 'Pu1 Pa1 Si1'
_cell_length_a 4.7023
_cell_length_b 4.7023
_cell_length_c 3.2439
_cell_angle_alpha 90.00
_cell_angle_beta 90.00
_cell_angle_gamma 120.00
_space_group_name_H-M_alt 'P 3 m 1'
_space_group_IT_number 156
_space_group_name_Hall 'P 3 -2"'
loop_
_atom_site_label
_atom_site_fract_x
_atom_site_fract_y
_atom_site_fract_z
_atom_site_occupancy
Pu1 0.0000 0.0000 0.0000 1
Pa1 0.3333 0.6667 0.6939 1
Si1 0.6667 0.3333 0.2840 1
# M_tot ... 5.93 μB/f.u.
# Crystal system ... trigonal

=====

On energetic grounds, model P is preferred over the next structure by 0.119 eV/atom.

=====

Model P:
# PuPaSn | Alexandria via LeMat-Bulk | PBE | relaxed
data_PuPaSn
_chemical_formula_sum 'Pu2 Pa2 Sn2'
_cell_length_a 5.332
_cell_length_b 5.442
_cell_length_c 5.545
_cell_angle_alpha 90.00
_cell_angle_beta 114.13
_cell_angle_gamma 90.00
_space_group_name_H-M_alt 'P 1 21 1'
_space_group_IT_number 4
_space_group_name_Hall 'P 2yb'
loop_
_atom_site_label
_atom_site_fract_x
_atom_site_fract_y
_atom_site_fract_z
_atom_site_occupancy
Pu1 0.197 0.000 0.476 1
Pa1 0.091 0.504 0.212 1
Sn1 0.441 0.499 0.847 1
# M_tot ... 5.84 μB/f.u.
# Crystal system ... monoclinic

=====

Model Q:
# PuPaSn | Alexandria via LeMat-Bulk | PBE | relaxed
data_PuPaSn
_chemical_formula_sum 'Pu1 Pa1 Sn1'
_cell_length_a 5.0813
_cell_length_b 5.0813
_cell_length_c 3.2331
_cell_angle_alpha 90.00
_cell_angle_beta 90.00
_cell_angle_gamma 120.00
_space_group_name_H-M_alt 'P -6 m 2'
_space_group_IT_number 187
_space_group_name_Hall 'P -6 2'
loop_
_atom_site_label
_atom_site_fract_x
_atom_site_fract_y
_atom_site_fract_z
_atom_site_occupancy
Pu1 0.0000 0.0000 0.0000 1
Pa1 0.6667 0.3333 0.0000 1
Sn1 0.3333 0.6667 0.5000 1
# M_tot ... 6.13 μB/f.u.
# Crystal system ... hexagonal

=====

Model R:
# PuPaSn | Alexandria via LeMat-Bulk | PBE | relaxed
data_PuPaSn
_chemical_formula_sum 'Pu2 Pa2 Sn2'
_cell_length_a 4.076
_cell_length_b 4.076
_cell_length_c 9.247
_cell_angle_alpha 90.00
_cell_angle_beta 90.00
_cell_angle_gamma 90.00
_space_group_name_H-M_alt 'I 4 m m'
_space_group_IT_number 107
_space_group_name_Hall 'I 4 -2'
loop_
_atom_site_label
_atom_site_fract_x
_atom_site_fract_y
_atom_site_fract_z
_atom_site_occupancy
Pu1 0.000 0.000 0.000 1
Pa1 0.000 0.000 0.304 1
Sn1 0.000 0.000 0.652 1
# M_tot ... 6.63 μB/f.u.
# Crystal system ... tetragonal

=====

Model S:
# PuPaSn | Alexandria via LeMat-Bulk | PBE | relaxed
data_PuPaSn
_chemical_formula_sum 'Pu2 Pa2 Sn2'
_cell_length_a 4.902
_cell_length_b 4.908
_cell_length_c 7.126
_cell_angle_alpha 90.00
_cell_angle_beta 90.00
_cell_angle_gamma 90.00
_space_group_name_H-M_alt 'I m m 2'
_space_group_IT_number 44
_space_group_name_Hall 'I 2 -2'
loop_
_atom_site_label
_atom_site_fract_x
_atom_site_fract_y
_atom_site_fract_z
_atom_site_occupancy
Pu1 0.000 0.000 0.000 1
Pa1 0.000 0.500 0.249 1
Sn1 0.000 0.500 0.750 1
# M_tot ... 8.73 μB/f.u.
# Crystal system ... orthorhombic

=====

On energetic grounds, model R is preferred over the next structure by 0.117 eV/atom.

=====

Model P:
# PuPa2Sn | Alexandria via LeMat-Bulk | PBE | relaxed
data_PuPa2Sn
_chemical_formula_sum 'Pu1 Pa2 Sn1'
_cell_length_a 3.897
_cell_length_b 3.897
_cell_length_c 6.551
_cell_angle_alpha 90.00
_cell_angle_beta 90.00
_cell_angle_gamma 90.00
_space_group_name_H-M_alt 'P 4/m m m'
_space_group_IT_number 123
_space_group_name_Hall '-P 4 2'
loop_
_atom_site_label
_atom_site_fract_x
_atom_site_fract_y
_atom_site_fract_z
_atom_site_occupancy
Pu1 0.000 0.000 0.000 1
Pa1 0.500 0.500 0.239 1
Sn1 0.000 0.000 0.500 1
# M_tot ... 6.46 μB/f.u.
# Crystal system ... tetragonal

=====

Model Q:
# PuPa2Sn | Alexandria via LeMat-Bulk | PBE | relaxed
data_PuPa2Sn
_chemical_formula_sum 'Pu1 Pa2 Sn1'
_cell_length_a 4.616
_cell_length_b 4.616
_cell_length_c 4.629
_cell_angle_alpha 90.00
_cell_angle_beta 90.00
_cell_angle_gamma 90.00
_space_group_name_H-M_alt 'P 4/m m m'
_space_group_IT_number 123
_space_group_name_Hall '-P 4 2'
loop_
_atom_site_label
_atom_site_fract_x
_atom_site_fract_y
_atom_site_fract_z
_atom_site_occupancy
Pu1 0.000 0.000 0.000 1
Pa1 0.000 0.500 0.500 1
Sn1 0.500 0.500 0.000 1
# M_tot ... 5.81 μB/f.u.
# Crystal system ... tetragonal

=====

On energetic grounds, model Q is preferred over the next structure by 0.159 eV/atom.

=====

Model P:
# PuPa2Ta | Alexandria via LeMat-Bulk | PBE | relaxed
data_PuPa2Ta
_chemical_formula_sum 'Pu1 Pa2 Ta1'
_cell_length_a 3.531
_cell_length_b 3.531
_cell_length_c 7.209
_cell_angle_alpha 90.00
_cell_angle_beta 90.00
_cell_angle_gamma 90.00
_space_group_name_H-M_alt 'P 4/m m m'
_space_group_IT_number 123
_space_group_name_Hall '-P 4 2'
loop_
_atom_site_label
_atom_site_fract_x
_atom_site_fract_y
_atom_site_fract_z
_atom_site_occupancy
Pu1 0.000 0.000 0.000 1
Pa1 0.500 0.500 0.252 1
Ta1 0.000 0.000 0.500 1
# M_tot ... 4.99 μB/f.u.
# Crystal system ... tetragonal

=====

Model Q:
# PuPa2Ta | Alexandria via LeMat-Bulk | PBE | relaxed
data_PuPa2Ta
_chemical_formula_sum 'Pu4 Pa8 Ta4'
_cell_length_a 7.125
_cell_length_b 7.125
_cell_length_c 7.125
_cell_angle_alpha 90.00
_cell_angle_beta 90.00
_cell_angle_gamma 90.00
_space_group_name_H-M_alt 'F m -3 m'
_space_group_IT_number 225
_space_group_name_Hall '-F 4 2 3'
loop_
_atom_site_label
_atom_site_fract_x
_atom_site_fract_y
_atom_site_fract_z
_atom_site_occupancy
Pu1 0.000 0.000 0.000 1
Pa1 0.250 0.250 0.250 1
Ta1 0.000 0.000 0.500 1
# M_tot ... 5.74 μB/f.u.
# Crystal system ... cubic

=====

On energetic grounds, model Q is preferred over the next structure by 0.006 eV/atom.

=====

Model P:
# PuPa3Tc4 | Alexandria via LeMat-Bulk | PBE | relaxed
data_PuPa3Tc4
_chemical_formula_sum 'Pu2 Pa6 Tc8'
_cell_length_a 5.471
_cell_length_b 7.634
_cell_length_c 8.011
_cell_angle_alpha 90.00
_cell_angle_beta 90.00
_cell_angle_gamma 90.00
_space_group_name_H-M_alt 'I m m 2'
_space_group_IT_number 44
_space_group_name_Hall 'I 2 -2'
loop_
_atom_site_label
_atom_site_fract_x
_atom_site_fract_y
_atom_site_fract_z
_atom_site_occupancy
Pu1 0.000 0.000 0.000 1
Pa1 0.000 0.255 0.448 1
Pa2 0.000 0.500 0.090 1
Tc1 0.000 0.186 0.763 1
Tc2 0.249 0.500 0.745 1
# M_tot ... 0.00 μB/f.u.
# Crystal system ... orthorhombic

=====

Model Q:
# PuPa3Tc4 | Alexandria via LeMat-Bulk | PBE | relaxed
data_PuPa3Tc4
_chemical_formula_sum 'Pu3 Pa9 Tc12'
_cell_length_a 4.8433
_cell_length_b 4.8433
_cell_length_c 23.8423
_cell_angle_alpha 90.00
_cell_angle_beta 90.00
_cell_angle_gamma 120.00
_space_group_name_H-M_alt 'R -3 m'
_space_group_IT_number 166
_space_group_name_Hall '-R 3 2"'
loop_
_atom_site_label
_atom_site_fract_x
_atom_site_fract_y
_atom_site_fract_z
_atom_site_occupancy
Pu1 0.0000 0.0000 0.0000 1
Pa1 0.0000 0.0000 0.2546 1
Pa2 0.0000 0.0000 0.5000 1
Tc1 0.0000 0.0000 0.1301 1
Tc2 0.0000 0.0000 0.3883 1
# M_tot ... 5.40 μB/f.u.
# Crystal system ... trigonal

=====

On energetic grounds, model Q is preferred over the next structure by 0.302 eV/atom.